# 1
{
  "formula": "CrAgN2O",
  "functional": "GGA+U",
  "state": "relaxed",
  "lattice": [[3.993, 0.000, 0.000], [0.000, 3.993, 0.000], [0.000, 0.000, 3.968]],
  "species": ["Cr", "Ag", "N", "N", "O"],
  "frac_coords": [[0.000, 0.000, 0.000], [0.500, 0.500, 0.500], [0.000, 0.500, 0.500], [0.500, 0.000, 0.500], [0.500, 0.500, 0.000]],
  "crystal_system": "tetragonal"
}

# 2
{
  "formula": "CrAgN2O",
  "functional": "GGA+U",
  "state": "relaxed",
  "lattice": [[3.777, 0.000, 0.000], [0.000, 3.777, 0.000], [0.000, 0.000, 3.763]],
  "species": ["Cr", "Ag", "N", "N", "O"],
  "frac_coords": [[0.000, 0.000, 0.000], [0.500, 0.500, 0.500], [0.000, 0.500, 0.000], [0.500, 0.000, 0.000], [0.000, 0.000, 0.500]],
  "crystal_system": "tetragonal"
}

| no. | total DFT energy (no corrections) (eV for the cell shown) |
| --- | --- |
| 1 | -20.544 |
| 2 | -27.989 |